Entry 1:
Entry from Alexandria via LeMat-Bulk: a relaxed Zr7Mn crystal (PBE-GGA).

```
8
Lattice="0.0000 4.4640 4.4640 4.4640 0.0000 4.4640 4.4640 4.4640 0.0000" Properties=species:S:1:pos:R:3 pbc="T T T"
Zr 0.0000 0.0000 0.0000
Zr 2.2320 2.2320 0.0000
Zr 2.2320 0.0000 2.2320
Zr 4.4640 2.2320 2.2320
Zr 0.0000 2.2320 2.2320
Zr 2.2320 4.4640 2.2320
Zr 2.2320 2.2320 4.4640
Mn 4.4640 4.4640 4.4640
```

Calculated volume: 177.91 Å³/f.u.
M_tot: 3.17 Bohr magnetons per cell
D(E_F): 12.414 states/eV per cell


Entry 2:
Entry from Alexandria via LeMat-Bulk: a relaxed Zr2Mn crystal (PBE-GGA).

```
12
Lattice="6.2412 0.0000 0.0000 0.0000 6.2412 0.0000 0.0000 0.0000 6.2412" Properties=species:S:1:pos:R:3 pbc="T T T"
Zr 1.0299 1.0299 1.0299
Zr 1.0299 2.0907 4.1505
Zr 2.0907 4.1505 1.0299
Zr 2.0907 5.2113 4.1505
Zr 4.1505 1.0299 2.0907
Zr 4.1505 2.0907 5.2113
Zr 5.2113 4.1505 2.0907
Zr 5.2113 5.2113 5.2113
Mn 0.0000 0.0000 3.1206
Mn 0.0000 3.1206 0.0000
Mn 3.1206 0.0000 0.0000
Mn 3.1206 3.1206 3.1206
```

Calculated volume: 60.78 Å³/f.u.
M_tot: 0.00 Bohr magnetons per cell
D(E_F): 13.030 states/eV per cell


Entry 3:
Entry from Alexandria via LeMat-Bulk: a relaxed ZrMn crystal (PBE-GGA).

```
12
Lattice="7.3705 0.0000 0.0000 -3.6852 6.3830 0.0000 0.0000 0.0000 4.4747" Properties=species:S:1:pos:R:3 pbc="T T T"
Zr 0.0000 2.2541 1.1187
Zr -1.7331 5.2560 1.1187
Zr 1.9521 1.1270 3.3560
Zr 1.7331 5.2560 1.1187
Zr 5.4184 1.1270 3.3560
Zr 3.6853 4.1289 3.3560
Mn -1.1415 3.5963 3.3560
Mn 1.1415 3.5963 3.3560
Mn 0.0000 5.5735 3.3560
Mn 3.6852 0.8095 1.1187
Mn 2.5437 2.7868 1.1187
Mn 4.8268 2.7868 1.1187
```

Calculated volume: 35.09 Å³/f.u.
M_tot: 0.00 Bohr magnetons per cell
D(E_F): 13.244 states/eV per cell


Entry 4:
Entry from Alexandria via LeMat-Bulk: a relaxed ZrMn2 crystal (PBE-GGA).

```
24
Lattice="4.9552 0.0000 0.0000 -2.4776 4.2913 0.0000 0.0000 0.0000 16.3434" Properties=species:S:1:pos:R:3 pbc="T T T"
Zr 0.0000 0.0000 1.5242
Zr 0.0000 0.0000 6.6475
Zr 0.0000 0.0000 9.6959
Zr 0.0000 0.0000 14.8192
Zr 0.0000 2.8609 2.5568
Zr 0.0000 2.8609 5.6149
Zr 2.4776 1.4304 10.7286
Zr 2.4776 1.4304 13.7866
Mn -1.2388 2.1457 0.0000
Mn -1.2388 2.1457 8.1717
Mn 0.0000 1.4101 12.2576
Mn -1.2564 3.5863 12.2576
Mn 1.2212 0.7050 4.0859
Mn 0.0000 2.8609 10.2101
Mn 0.0000 2.8609 14.3050
Mn 2.4776 0.0000 0.0000
Mn 2.4776 0.0000 8.1717
Mn 1.2388 2.1457 0.0000
Mn 1.2388 2.1457 8.1717
Mn 2.4776 1.4304 2.0384
Mn 2.4776 1.4304 6.1333
Mn 1.2564 3.5863 12.2576
Mn 3.7340 0.7050 4.0859
Mn 2.4776 2.8812 4.0859
```

Calculated volume: 43.44 Å³/f.u.
M_tot: 12.40 Bohr magnetons per cell
D(E_F): 26.243 states/eV per cell


Entry 5:
Entry from Alexandria via LeMat-Bulk: a relaxed Zr2Mn crystal (PBE-GGA).

```
12
Lattice="3.0900 0.0000 0.0000 0.0000 3.0900 0.0000 0.0000 0.0000 25.1971" Properties=species:S:1:pos:R:3 pbc="T T T"
Zr 0.0000 0.7725 7.8660
Zr 0.0000 0.7725 11.0318
Zr 0.0000 2.3175 14.1653
Zr 0.0000 2.3175 17.3311
Zr 1.5450 0.7725 1.5667
Zr 1.5450 0.7725 4.7325
Zr 1.5450 2.3175 20.4646
Zr 1.5450 2.3175 23.6304
Mn 0.0000 0.7725 22.0475
Mn 0.0000 2.3175 3.1496
Mn 1.5450 0.7725 15.7482
Mn 1.5450 2.3175 9.4489
```

Calculated volume: 60.15 Å³/f.u.
M_tot: 0.00 Bohr magnetons per cell
D(E_F): 13.512 states/eV per cell


Entry 6:
Entry from Alexandria via LeMat-Bulk: a relaxed ZrMn crystal (PBE-GGA).

```
12
Lattice="10.3831 0.0000 0.0000 0.0000 3.1029 0.0000 -2.7894 0.0000 6.5440" Properties=species:S:1:pos:R:3 pbc="T T T"
Zr 0.0000 0.0000 0.0000
Zr -0.4098 1.5515 5.1302
Zr 2.8119 0.0000 1.4138
Zr 5.1915 1.5515 0.0000
Zr 4.7818 0.0000 5.1302
Zr 8.0035 1.5515 1.4138
Mn -1.3947 0.0000 3.2720
Mn 0.4796 1.5515 2.4016
Mn 1.9226 0.0000 4.1424
Mn 3.7968 1.5515 3.2720
Mn 5.6711 0.0000 2.4016
Mn 7.1141 1.5515 4.1424
```

Calculated volume: 35.14 Å³/f.u.
M_tot: 9.64 Bohr magnetons per cell
D(E_F): 16.035 states/eV per cell


Number 1: formation energy from the elements 1.024 eV per formula unit. Number 2: formation energy from the elements 0.760 eV per formula unit. Number 3: formation energy from the elements 0.227 eV per formula unit. Number 4: formation energy from the elements -0.532 eV per formula unit. Number 5: formation energy from the elements 0.380 eV per formula unit. Number 6: formation energy from the elements 0.281 eV per formula unit.